{
  "formula": "Dy2Co7B3",
  "functional": "meta-GGA SCAN",
  "state": "single point on PBEsol structure",
  "lattice_angstrom": [[4.932, 0.000, 0.000], [-2.466, 4.271, 0.000], [0.000, 0.000, 12.655]],
  "species": ["B", "B", "B", "B", "B", "B", "Co", "Co", "Co", "Co", "Co", "Co", "Co", "Co", "Co", "Co", "Co", "Co", "Co", "Co", "Dy", "Dy", "Dy", "Dy"],
  "frac_coords": [[0.667, 0.333, 0.268], [0.333, 0.667, 0.268], [0.333, 0.667, 0.732], [0.667, 0.333, 0.500], [0.667, 0.333, 0.732], [0.333, 0.667, 0.500], [0.000, 0.500, 0.384], [0.000, 0.500, 0.153], [0.500, 0.500, 0.153], [0.500, 0.500, 0.616], [0.500, 0.000, 0.384], [0.500, 0.000, 0.847], [0.500, 0.000, 0.153], [0.500, 0.500, 0.847], [0.000, 0.500, 0.616], [0.000, 0.500, 0.847], [0.500, 0.500, 0.384], [0.333, 0.667, 0.000], [0.667, 0.333, 0.000], [0.500, 0.000, 0.616], [0.000, 0.000, 0.739], [0.000, 0.000, 0.500], [0.000, 0.000, 0.000], [0.000, 0.000, 0.261]],
  "magmom_total_mub_per_cell": 11.124,
  "crystal_system": "hexagonal",
  "energy_ev_per_atom": -20.266,
  "rho_g_cm3": 9.59,
  "delta_e_f_ev_per_fu": -4.2
}

=====

{
  "formula": "DyCo4B",
  "functional": "meta-GGA SCAN",
  "state": "single point on PBEsol structure",
  "lattice_angstrom": [[-1.985, 2.772, 3.538], [-1.060, -4.791, -0.253], [5.248, -1.374, 4.019]],
  "species": ["B", "B", "Co", "Co", "Co", "Co", "Co", "Co", "Co", "Co", "Dy", "Dy"],
  "frac_coords": [[0.667, 0.333, 0.500], [0.333, 0.667, 0.500], [0.333, 0.667, 0.000], [0.667, 0.333, 0.000], [0.500, 0.000, 0.286], [0.500, 0.500, 0.286], [0.000, 0.500, 0.286], [0.500, 0.000, 0.714], [0.500, 0.500, 0.714], [0.000, 0.500, 0.714], [0.000, 0.000, 0.500], [0.000, 0.000, 0.000]],
  "magmom_total_mub_per_cell": 8.626,
  "crystal_system": "hexagonal",
  "energy_ev_per_atom": -20.971,
  "rho_g_cm3": 9.62,
  "delta_e_f_ev_per_fu": -1.4
}

=====

{
  "formula": "DyCo2B2",
  "functional": "meta-GGA SCAN",
  "state": "single point on PBEsol structure",
  "lattice_angstrom": [[-0.682, -1.573, -3.058], [2.928, -1.901, 0.325], [-3.494, -1.536, 3.578]],
  "species": ["B", "B", "Co", "Co", "Dy"],
  "frac_coords": [[0.352, 0.352, 0.703], [0.648, 0.648, 0.297], [0.250, 0.750, 0.500], [0.750, 0.250, 0.500], [0.000, 0.000, 0.000]],
  "magmom_total_mub_per_cell": 0.000,
  "crystal_system": "tetragonal",
  "energy_ev_per_atom": -19.997,
  "rho_g_cm3": 8.86,
  "delta_e_f_ev_per_fu": -2.7
}

=====

{
  "formula": "Dy3Co11B4",
  "functional": "meta-GGA SCAN",
  "state": "single point on PBEsol structure",
  "lattice_angstrom": [[-2.488, 3.258, 2.751], [-2.387, -2.746, -3.337], [-1.516, -6.797, 6.676]],
  "species": ["Dy", "Dy", "Dy", "Co", "Co", "Co", "Co", "Co", "Co", "Co", "Co", "Co", "Co", "Co", "B", "B", "B", "B"],
  "frac_coords": [[0.000, 0.000, 0.341], [0.000, 0.000, 0.659], [0.000, 0.000, 0.000], [0.500, 0.500, 0.500], [0.500, 0.000, 0.500], [0.000, 0.500, 0.799], [0.500, 0.500, 0.799], [0.500, 0.000, 0.799], [0.000, 0.500, 0.201], [0.500, 0.500, 0.201], [0.500, 0.000, 0.201], [0.333, 0.667, 0.000], [0.667, 0.333, 0.000], [0.000, 0.500, 0.500], [0.333, 0.667, 0.349], [0.667, 0.333, 0.349], [0.667, 0.333, 0.651], [0.333, 0.667, 0.651]],
  "magmom_total_mub_per_cell": 9.944,
  "crystal_system": "hexagonal",
  "energy_ev_per_atom": -20.504,
  "rho_g_cm3": 9.61,
  "delta_e_f_ev_per_fu": -5.6
}

=====

{
  "formula": "Dy3Co29Si4B10",
  "functional": "meta-GGA SCAN",
  "state": "single point on PBEsol structure",
  "lattice_angstrom": [[7.708, 0.000, 0.000], [0.000, 10.964, 0.000], [0.000, 0.000, 10.964]],
  "species": ["Dy", "Dy", "Dy", "Dy", "Dy", "Dy", "Co", "Co", "Co", "Co", "Co", "Co", "Co", "Co", "Co", "Co", "Co", "Co", "Co", "Co", "Co", "Co", "Co", "Co", "Co", "Co", "Co", "Co", "Co", "Co", "Co", "Co", "Co", "Co", "Co", "Co", "Co", "Co", "Co", "Co", "Co", "Co", "Co", "Co", "Co", "Co", "Co", "Co", "Co", "Co", "Co", "Co", "Co", "Co", "Co", "Co", "Co", "Co", "Co", "Co", "Co", "Co", "Co", "Co", "Si", "Si", "Si", "Si", "Si", "Si", "Si", "Si", "B", "B", "B", "B", "B", "B", "B", "B", "B", "B", "B", "B", "B", "B", "B", "B", "B", "B", "B", "B"],
  "frac_coords": [[0.000, 0.750, 0.250], [0.000, 0.250, 0.250], [0.500, 0.500, 0.500], [0.000, 0.750, 0.750], [0.000, 0.250, 0.750], [0.500, 0.000, 0.000], [0.474, 0.000, 0.272], [0.336, 0.338, 0.325], [0.336, 0.662, 0.325], [0.971, 0.000, 0.335], [0.664, 0.325, 0.338], [0.664, 0.675, 0.338], [0.249, 0.884, 0.384], [0.249, 0.116, 0.384], [0.111, 0.500, 0.390], [0.699, 0.890, 0.390], [0.699, 0.110, 0.390], [0.971, 0.835, 0.500], [0.474, 0.772, 0.500], [0.466, 0.000, 0.500], [0.889, 0.390, 0.500], [0.889, 0.610, 0.500], [0.971, 0.165, 0.500], [0.474, 0.228, 0.500], [0.699, 0.890, 0.610], [0.699, 0.110, 0.610], [0.111, 0.500, 0.610], [0.249, 0.884, 0.616], [0.249, 0.116, 0.616], [0.664, 0.325, 0.662], [0.664, 0.675, 0.662], [0.971, 0.000, 0.665], [0.336, 0.338, 0.675], [0.336, 0.662, 0.675], [0.474, 0.000, 0.728], [0.526, 0.500, 0.772], [0.664, 0.838, 0.825], [0.664, 0.162, 0.825], [0.029, 0.500, 0.835], [0.336, 0.825, 0.838], [0.336, 0.175, 0.838], [0.751, 0.384, 0.884], [0.751, 0.616, 0.884], [0.889, 0.000, 0.890], [0.301, 0.390, 0.890], [0.301, 0.610, 0.890], [0.029, 0.665, 0.000], [0.526, 0.728, 0.000], [0.111, 0.890, 0.000], [0.111, 0.110, 0.000], [0.526, 0.272, 0.000], [0.029, 0.335, 0.000], [0.534, 0.500, 0.000], [0.301, 0.390, 0.110], [0.301, 0.610, 0.110], [0.889, 0.000, 0.110], [0.751, 0.384, 0.116], [0.751, 0.616, 0.116], [0.336, 0.825, 0.162], [0.336, 0.175, 0.162], [0.029, 0.500, 0.165], [0.664, 0.838, 0.175], [0.664, 0.162, 0.175], [0.526, 0.500, 0.228], [0.824, 0.500, 0.317], [0.176, 0.317, 0.500], [0.176, 0.683, 0.500], [0.824, 0.500, 0.683], [0.176, 0.000, 0.817], [0.824, 0.817, 0.000], [0.824, 0.183, 0.000], [0.176, 0.000, 0.183], [0.482, 0.815, 0.315], [0.482, 0.185, 0.315], [0.263, 0.500, 0.256], [0.109, 0.000, 0.500], [0.850, 0.000, 0.500], [0.737, 0.256, 0.500], [0.737, 0.744, 0.500], [0.263, 0.500, 0.744], [0.482, 0.815, 0.685], [0.482, 0.185, 0.685], [0.518, 0.315, 0.815], [0.518, 0.685, 0.815], [0.737, 0.000, 0.756], [0.263, 0.756, 0.000], [0.263, 0.244, 0.000], [0.150, 0.500, 0.000], [0.891, 0.500, 0.000], [0.737, 0.000, 0.244], [0.518, 0.685, 0.185], [0.518, 0.315, 0.185]],
  "magmom_total_mub_per_cell": 58.355,
  "crystal_system": "tetragonal",
  "energy_ev_per_atom": -16.871,
  "rho_g_cm3": 8.66
}

=====

{
  "formula": "ErCo3B2",
  "functional": "meta-GGA SCAN",
  "state": "single point on PBEsol structure",
  "lattice_angstrom": [[2.977, 0.000, 0.000], [0.000, 4.912, 0.000], [0.000, -2.456, 4.254]],
  "species": ["B", "B", "Co", "Co", "Co", "Er"],
  "frac_coords": [[0.000, 0.333, 0.667], [0.000, 0.667, 0.333], [0.500, 0.000, 0.500], [0.500, 0.500, 0.500], [0.500, 0.500, 0.000], [0.000, 0.000, 0.000]],
  "magmom_total_mub_per_cell": 0.750,
  "crystal_system": "hexagonal",
  "energy_ev_per_atom": -19.990,
  "rho_g_cm3": 9.76,
  "delta_e_f_ev_per_fu": -2.8
}